Entry 1:
Dy2YPt (PBE-GGA, optimized geometry); energy relative to the lowest polymorph listed for this composition = 0.000 eV/atom; raw total energy = -6.14 eV/atom; SG = Pnma
1.0
7.059 0.000 0.000
0.000 9.610 0.000
0.000 0.000 6.484
Dy Y Pt
8 4 4
Cartesian
1.273 0.587 1.154
1.273 4.217 1.154
2.256 5.392 4.396
2.256 9.022 4.396
4.803 0.587 2.088
4.803 4.217 2.088
5.785 5.392 5.331
5.785 9.022 5.331
0.178 2.402 4.091
3.351 7.207 0.849
3.708 2.402 5.635
6.880 7.207 2.393
0.786 7.207 6.132
2.743 2.402 2.890
4.316 7.207 3.594
6.272 2.402 0.352

Entry 2:
DyY2Pt (PBE-GGA, optimized geometry); energy relative to the lowest polymorph listed for this composition = 0.143 eV/atom; raw total energy = -6.46 eV/atom; SG = P4/mmm
1.0
3.577 0.000 0.000
0.000 3.577 0.000
0.000 0.000 8.443
Dy Y Pt
1 2 1
Cartesian
0.000 0.000 0.000
1.789 1.789 2.566
1.789 1.789 5.877
0.000 0.000 4.222

no.,energy relative to the elements (eV/atom)
1,-0.717
2,-0.570